[1]
## La2Ga3AgAu12 (GGA-PBE)

Data for a geometry-optimized La2Ga3AgAu12 structure.

Summary:
As for the electronic total energy: -63.36 eV for the cell shown. As for the total magnetization: 0.000 μB per atom. Its density of states at the Fermi level is 0.38 states/eV/atom.

Unit cell a=8.221 b=8.221 c=8.221 alpha=64.51 beta=64.51 gamma=64.51
Positions (direct):
Au1 0.619 0.138 0.138
Au2 0.639 0.122 0.639
Au3 0.122 0.639 0.639
Au4 0.361 0.878 0.361
Au5 0.878 0.361 0.361
Au6 0.862 0.381 0.862
Au7 0.862 0.862 0.381
Au8 0.138 0.619 0.138
Au9 0.381 0.862 0.862
Au10 0.361 0.361 0.878
Au11 0.639 0.639 0.122
Au12 0.138 0.138 0.619
La1 0.388 0.388 0.388
La2 0.612 0.612 0.612
Ga1 0.000 0.500 0.000
Ga2 0.000 0.000 0.500
Ga3 0.500 0.000 0.000
Ag1 0.000 0.000 0.000

=====

[2]
## CoAgI2 (GGA-PBE)

Data for a geometry-optimized CoAgI2 structure.

Summary:
As for the electronic total energy: -10.56 eV for the cell shown. The calculation puts the formation energy from raw total energies at 624 meV per atom. As for the total magnetization: 0.546 μB per atom. Its density of states at the Fermi level is 0.93 states/eV/atom. The value obtained for the offset from the most stable computed form is 496 meV/atom.

Unit cell a=5.198 b=5.198 c=5.198 alpha=60.00 beta=60.00 gamma=60.00
Last column: magnetic moment on the atom in μB.
Positions (direct):
I1 0.750 0.750 0.750  0.10
I2 0.250 0.250 0.250  0.10
Ag1 0.500 0.500 0.500  0.00
Co1 0.000 0.000 0.000  1.99

=====

[3]
## ZnSb2I (GGA-PBE)

Data for a geometry-optimized ZnSb2I structure.

Summary:
As for the electronic total energy: -19.31 eV for the cell shown. The calculation puts the formation energy from raw total energies at 353 meV per atom. As for the total magnetization: 0.000 μB per atom. Its density of states at the Fermi level is 0.39 states/eV/atom. The value obtained for the offset from the most stable computed form is 0 meV/atom.

Unit cell a=5.921 b=5.921 c=9.196 alpha=71.22 beta=71.22 gamma=90.00
Positions (direct):
Zn1 0.500 0.500 0.000
Zn2 0.250 0.750 0.500
Sb1 0.230 0.625 0.250
Sb2 0.375 0.480 0.750
Sb3 0.875 0.770 0.750
Sb4 0.520 0.125 0.250
I1 0.000 0.000 0.000
I2 0.750 0.250 0.500